No. 1
Compound: PrLuCoPd
Source: Alexandria
Functional: GGA-PBE
Structure: relaxed

Lattice parameters (Å, degrees): 6.944 6.944 6.944 90.00 90.00 90.00
Space group F-43m (No. 216)
Unique sites:
Pr 0.000 0.000 0.000 x4
Lu 0.000 0.000 0.500 x4
Co 0.250 0.250 0.750 x4
Pd 0.250 0.250 0.250 x4

Values from the calculation:
- Volume: 334.8 Å³/cell
- Formation energy: -0.40 eV/atom
- M_tot: 0.279 μB per formula unit
- ρ: 9.5 g/cm³

No. 2
Compound: LuCoSbPd
Source: Alexandria
Functional: GGA-PBE
Structure: relaxed

Lattice parameters (Å, degrees): 6.557 6.557 6.557 90.00 90.00 90.00
Space group F-43m (No. 216)
Unique sites:
Lu 0.000 0.000 0.000 x4
Co 0.250 0.250 0.250 x4
Sb 0.000 0.000 0.500 x4
Pd 0.250 0.250 0.750 x4

Values from the calculation:
- Formation energy (no corrections): -496 meV per atom
- Volume: 282.0 Å³/cell
- M_tot: 0.849 μB per formula unit
- ρ: 10.9 g/cm³

No. 3
Compound: LuScCoPd
Source: Alexandria
Functional: GGA-PBE
Structure: relaxed

Lattice parameters (Å, degrees): 6.579 6.579 6.579 90.00 90.00 90.00
Space group F-43m (No. 216)
Unique sites:
Lu 0.000 0.000 0.000 x4
Sc 0.000 0.000 0.500 x4
Co 0.250 0.250 0.750 x4
Pd 0.250 0.250 0.250 x4

Values from the calculation:
- Volume: 284.8 Å³/cell
- Formation energy: -0.58 eV/atom
- M_tot: 0.002 μB per formula unit
- ρ: 9.0 g/cm³